A plane-wave DFT calculation with PBE was carried out for a relaxed structure of KRbHgO2. Values from VASP.

Properties
**Mass density**: 5.1 Mg/m³
**Calculated volume**: 116.2 Å³/f.u.
**Final energy**: -3.494 eV per atom

Geometry as Quantum ESPRESSO input:
```
&SYSTEM
  ibrav = 0, nat = 5, ntyp = 4
/
ATOMIC_SPECIES
K 39.10 K.upf
Rb 85.47 Rb.upf
Hg 200.59 Hg.upf
O 16.00 O.upf
CELL_PARAMETERS angstrom
-2.0190 2.0190 7.1292
2.0190 -2.0190 7.1292
2.0190 2.0190 -7.1292
ATOMIC_POSITIONS crystal
K 0.0000 0.0000 0.0000
Rb 0.6653 0.6653 0.0000
Hg 0.3327 0.3327 0.0000
O 0.1924 0.1924 0.0000
O 0.4730 0.4730 0.0000
```